# 1
# Pm8Ge3H2 (PBE, relaxed)
data_Pm8Ge3H2
_symmetry_space_group_name_H-M 'R -3 m'
_symmetry_Int_Tables_number 166
_symmetry_space_group_name_Hall '-R 3 2"'
_cell_length_a 6.8210
_cell_length_b 6.8210
_cell_length_c 25.1623
_cell_angle_alpha 90.00
_cell_angle_beta 90.00
_cell_angle_gamma 120.00
loop_
_atom_site_label
_atom_site_type_symbol
_atom_site_fract_x
_atom_site_fract_y
_atom_site_fract_z
Pm1 Pm 0.0000 0.0000 0.1866
Pm2 Pm 0.0090 0.5045 0.2680
Ge1 Ge 0.0000 0.0000 0.3018
Ge2 Ge 0.0000 0.0000 0.5000
H1 H 0.0000 0.0000 0.0998
# - energy (eV per formula unit) = -63.43

***

# 2
# Ac2YTiS6 (PBE, relaxed)
data_Ac2YTiS6
_symmetry_space_group_name_H-M 'C 1 2/m 1'
_symmetry_Int_Tables_number 12
_cell_length_a 11.999
_cell_length_b 6.964
_cell_length_c 7.125
_cell_angle_alpha 90.00
_cell_angle_beta 124.14
_cell_angle_gamma 90.00
loop_
_symmetry_equiv_pos_as_xyz
'x,y,z'
'-x,-y,-z'
'-x,y,-z'
'x,-y,z'
'x+1/2,y+1/2,z'
'-x+1/2,-y+1/2,-z'
'-x+1/2,y+1/2,-z'
'x+1/2,-y+1/2,z'
loop_
_atom_site_label
_atom_site_type_symbol
_atom_site_fract_x
_atom_site_fract_y
_atom_site_fract_z
Ac1 Ac 0.244 0.000 0.219
Y1 Y 0.000 0.000 0.500
Ti1 Ti 0.000 0.500 0.000
S1 S 0.061 0.257 0.823
S2 S 0.237 0.500 0.345
# - energy (eV per formula unit) = -66.17

***

# 3
# Tb7SmEr12 (PBE, relaxed)
data_Tb7SmEr12
_symmetry_space_group_name_H-M 'I m -3 m'
_symmetry_Int_Tables_number 229
_symmetry_space_group_name_Hall '-I 4 2 3'
_cell_length_a 11.172
_cell_length_b 11.172
_cell_length_c 11.172
_cell_angle_alpha 90.00
_cell_angle_beta 90.00
_cell_angle_gamma 90.00
loop_
_atom_site_label
_atom_site_type_symbol
_atom_site_fract_x
_atom_site_fract_y
_atom_site_fract_z
Tb1 Tb 0.000 0.000 0.500
Tb2 Tb 0.250 0.250 0.250
Sm1 Sm 0.000 0.000 0.000
Er1 Er 0.000 0.253 0.253
# - excess energy over the best structure of this formula in the dataset (meV/atom) = 409.4
# - ΔE_f (meV/atom) = 712

***

# 4
# TaSn2MoOs (PBE, relaxed)
data_TaSn2MoOs
_symmetry_space_group_name_H-M 'P 4/m m m'
_symmetry_Int_Tables_number 123
_symmetry_space_group_name_Hall '-P 4 2'
_cell_length_a 5.003
_cell_length_b 5.003
_cell_length_c 4.972
_cell_angle_alpha 90.00
_cell_angle_beta 90.00
_cell_angle_gamma 90.00
loop_
_atom_site_label
_atom_site_type_symbol
_atom_site_fract_x
_atom_site_fract_y
_atom_site_fract_z
Ta1 Ta 0.000 0.000 0.000
Sn1 Sn 0.000 0.500 0.500
Mo1 Mo 0.500 0.500 0.000
Os1 Os 0.000 0.000 0.500
# - ΔE_f (meV/atom) = 1330

***

# 5
# MnRe (PBE, relaxed)
data_MnRe
_symmetry_space_group_name_H-M 'C m c m'
_symmetry_Int_Tables_number 63
_symmetry_space_group_name_Hall '-C 2c 2'
_cell_length_a 2.636
_cell_length_b 9.786
_cell_length_c 4.207
_cell_angle_alpha 90.00
_cell_angle_beta 90.00
_cell_angle_gamma 90.00
loop_
_atom_site_label
_atom_site_type_symbol
_atom_site_fract_x
_atom_site_fract_y
_atom_site_fract_z
Mn1 Mn 0.000 0.170 0.250
Re1 Re 0.000 0.422 0.250
# - ΔE_f (meV/atom) = 277

***

# 6
# Dy3Ho5Tm (PBE, relaxed)
data_Dy3Ho5Tm
_symmetry_space_group_name_H-M 'C 1 2/m 1'
_symmetry_Int_Tables_number 12
_cell_length_a 15.024
_cell_length_b 11.306
_cell_length_c 9.828
_cell_angle_alpha 90.00
_cell_angle_beta 130.26
_cell_angle_gamma 90.00
loop_
_symmetry_equiv_pos_as_xyz
'x,y,z'
'-x,-y,-z'
'-x,y,-z'
'x,-y,z'
'x+1/2,y+1/2,z'
'-x+1/2,-y+1/2,-z'
'-x+1/2,y+1/2,-z'
'x+1/2,-y+1/2,z'
loop_
_atom_site_label
_atom_site_type_symbol
_atom_site_fract_x
_atom_site_fract_y
_atom_site_fract_z
Dy1 Dy 0.000 0.000 0.000
Dy2 Dy 0.000 0.500 0.500
Dy3 Dy 0.010 0.000 0.315
Dy4 Dy 0.021 0.500 0.862
Ho1 Ho 0.000 0.242 0.500
Ho2 Ho 0.152 0.248 0.248
Ho3 Ho 0.222 0.000 0.732
Ho4 Ho 0.222 0.500 0.537
Tm1 Tm 0.249 0.000 0.101
# - excess energy over the best structure of this formula in the dataset (meV/atom) = 214.8
# - ΔE_f (meV/atom) = 534

***

# 7
# ThAl4Cu2Pt (PBE, relaxed)
data_ThAl4Cu2Pt
_symmetry_space_group_name_H-M 'R -3 m'
_symmetry_Int_Tables_number 166
_symmetry_space_group_name_Hall '-R 3 2"'
_cell_length_a 4.2273
_cell_length_b 4.2273
_cell_length_c 27.0305
_cell_angle_alpha 90.00
_cell_angle_beta 90.00
_cell_angle_gamma 120.00
loop_
_atom_site_label
_atom_site_type_symbol
_atom_site_fract_x
_atom_site_fract_y
_atom_site_fract_z
Th1 Th 0.0000 0.0000 0.0000
Al1 Al 0.0000 0.0000 0.1296
Al2 Al 0.0000 0.0000 0.4058
Cu1 Cu 0.0000 0.0000 0.2448
Pt1 Pt 0.0000 0.0000 0.5000
# - ΔE_f (meV/atom) = -487

***

# 8
# CeTmBeAl (PBE, relaxed)
data_CeTmBeAl
_symmetry_space_group_name_H-M 'F -4 3 m'
_symmetry_Int_Tables_number 216
_symmetry_space_group_name_Hall 'F -4 2 3'
_cell_length_a 7.014
_cell_length_b 7.014
_cell_length_c 7.014
_cell_angle_alpha 90.00
_cell_angle_beta 90.00
_cell_angle_gamma 90.00
loop_
_atom_site_label
_atom_site_type_symbol
_atom_site_fract_x
_atom_site_fract_y
_atom_site_fract_z
Ce1 Ce 0.000 0.000 0.000
Tm1 Tm 0.000 0.000 0.500
Be1 Be 0.250 0.250 0.750
Al1 Al 0.250 0.250 0.250
# - ΔE_f (meV/atom) = -84

***

# 9
# PrErInIr (PBE, relaxed)
data_PrErInIr
_symmetry_space_group_name_H-M 'F -4 3 m'
_symmetry_Int_Tables_number 216
_symmetry_space_group_name_Hall 'F -4 2 3'
_cell_length_a 7.300
_cell_length_b 7.300
_cell_length_c 7.300
_cell_angle_alpha 90.00
_cell_angle_beta 90.00
_cell_angle_gamma 90.00
loop_
_atom_site_label
_atom_site_type_symbol
_atom_site_fract_x
_atom_site_fract_y
_atom_site_fract_z
Pr1 Pr 0.000 0.000 0.000
Er1 Er 0.000 0.000 0.500
In1 In 0.250 0.250 0.250
Ir1 Ir 0.250 0.250 0.750
# - ΔE_f (meV/atom) = -456

***

# 10
# Zr4AgPd (PBE, relaxed)
data_Zr4AgPd
_symmetry_space_group_name_H-M 'C 1 2/m 1'
_symmetry_Int_Tables_number 12
_cell_length_a 15.192
_cell_length_b 3.188
_cell_length_c 5.619
_cell_angle_alpha 90.00
_cell_angle_beta 110.84
_cell_angle_gamma 90.00
loop_
_symmetry_equiv_pos_as_xyz
'x,y,z'
'-x,-y,-z'
'-x,y,-z'
'x,-y,z'
'x+1/2,y+1/2,z'
'-x+1/2,-y+1/2,-z'
'-x+1/2,y+1/2,-z'
'x+1/2,-y+1/2,z'
loop_
_atom_site_label
_atom_site_type_symbol
_atom_site_fract_x
_atom_site_fract_y
_atom_site_fract_z
Zr1 Zr 0.163 0.000 0.328
Zr2 Zr 0.164 0.500 0.833
Ag1 Ag 0.000 0.000 0.500
Pd1 Pd 0.000 0.500 0.000
# - excess energy over the best structure of this formula in the dataset (meV/atom) = 194.8
# - ΔE_f (meV/atom) = -100

***

# 11
# Pm4NdNi4 (PBE, relaxed)
data_Pm4NdNi4
_symmetry_space_group_name_H-M 'P 42/n'
_symmetry_Int_Tables_number 86
_cell_length_a 8.640
_cell_length_b 8.640
_cell_length_c 5.872
_cell_angle_alpha 90.00
_cell_angle_beta 90.00
_cell_angle_gamma 90.00
loop_
_symmetry_equiv_pos_as_xyz
'x,y,z'
'-x,-y,-z'
'-y,x+1/2,z+1/2'
'y,-x+1/2,-z+1/2'
'-x+1/2,-y+1/2,z'
'x+1/2,y+1/2,-z'
'y+1/2,-x,z+1/2'
'-y+1/2,x,-z+1/2'
loop_
_atom_site_label
_atom_site_type_symbol
_atom_site_fract_x
_atom_site_fract_y
_atom_site_fract_z
Pm1 Pm 0.062 0.664 0.153
Nd1 Nd 0.250 0.250 0.250
Ni1 Ni 0.027 0.616 0.634
# - ΔE_f (meV/atom) = -188

***

# 12
# BaNi2 (PBE, relaxed)
data_BaNi2
_symmetry_space_group_name_H-M 'I 4/m m m'
_symmetry_Int_Tables_number 139
_symmetry_space_group_name_Hall '-I 4 2'
_cell_length_a 3.400
_cell_length_b 3.400
_cell_length_c 10.641
_cell_angle_alpha 90.00
_cell_angle_beta 90.00
_cell_angle_gamma 90.00
loop_
_atom_site_label
_atom_site_type_symbol
_atom_site_fract_x
_atom_site_fract_y
_atom_site_fract_z
Ba1 Ba 0.000 0.000 0.000
Ni1 Ni 0.000 0.000 0.273
# - ΔE_f (meV/atom) = 332

***

# 13
# K2Pu3HgO12 (PBE, relaxed)
data_K2Pu3HgO12
_symmetry_space_group_name_H-M 'R -3 m'
_symmetry_Int_Tables_number 166
_symmetry_space_group_name_Hall '-R 3 2"'
_cell_length_a 7.9856
_cell_length_b 7.9856
_cell_length_c 17.9246
_cell_angle_alpha 90.00
_cell_angle_beta 90.00
_cell_angle_gamma 120.00
loop_
_atom_site_label
_atom_site_type_symbol
_atom_site_fract_x
_atom_site_fract_y
_atom_site_fract_z
K1 K 0.0000 0.0000 0.1320
Pu1 Pu 0.0000 0.5000 0.0000
Hg1 Hg 0.0000 0.0000 0.5000
O1 O 0.0273 0.5137 0.1053
O2 O 0.0789 0.5395 0.3426
# - energy (eV per formula unit) = -142.20

***

# 14
# Tb7Co2Cu2 (PBE, relaxed)
data_Tb7Co2Cu2
_symmetry_space_group_name_H-M 'C m m m'
_symmetry_Int_Tables_number 65
_symmetry_space_group_name_Hall '-C 2 2'
_cell_length_a 7.345
_cell_length_b 10.942
_cell_length_c 6.856
_cell_angle_alpha 90.00
_cell_angle_beta 90.00
_cell_angle_gamma 90.00
loop_
_atom_site_label
_atom_site_type_symbol
_atom_site_fract_x
_atom_site_fract_y
_atom_site_fract_z
Tb1 Tb 0.000 0.000 0.000
Tb2 Tb 0.000 0.500 0.249
Tb3 Tb 0.250 0.250 0.257
Co1 Co 0.000 0.301 0.000
Cu1 Cu 0.167 0.000 0.500
# - ΔE_f (meV/atom) = -32

***

# 15
# CsTaP2Se8 (PBE, relaxed)
data_CsTaP2Se8
_symmetry_space_group_name_H-M 'R -3'
_symmetry_Int_Tables_number 148
_symmetry_space_group_name_Hall '-R 3'
_cell_length_a 6.4194
_cell_length_b 6.4194
_cell_length_c 31.4627
_cell_angle_alpha 90.00
_cell_angle_beta 90.00
_cell_angle_gamma 120.00
loop_
_atom_site_label
_atom_site_type_symbol
_atom_site_fract_x
_atom_site_fract_y
_atom_site_fract_z
Cs1 Cs 0.0000 0.0000 0.0000
Ta1 Ta 0.0000 0.0000 0.5000
P1 P 0.0000 0.0000 0.2340
Se1 Se 0.0000 0.0000 0.3021
Se2 Se 0.0055 0.6602 0.7877
# - energy (eV per formula unit) = -55.83

***

# 16
# LiDyPaPt (PBE, relaxed)
data_LiDyPaPt
_symmetry_space_group_name_H-M 'F -4 3 m'
_symmetry_Int_Tables_number 216
_symmetry_space_group_name_Hall 'F -4 2 3'
_cell_length_a 7.040
_cell_length_b 7.040
_cell_length_c 7.040
_cell_angle_alpha 90.00
_cell_angle_beta 90.00
_cell_angle_gamma 90.00
loop_
_atom_site_label
_atom_site_type_symbol
_atom_site_fract_x
_atom_site_fract_y
_atom_site_fract_z
Li1 Li 0.000 0.000 0.000
Dy1 Dy 0.250 0.250 0.750
Pa1 Pa 0.250 0.250 0.250
Pt1 Pt 0.000 0.000 0.500
# - ΔE_f (meV/atom) = -288

***

# 17
# InSn2RhCl (PBE, relaxed)
data_InSn2RhCl
_symmetry_space_group_name_H-M 'P 4/m m m'
_symmetry_Int_Tables_number 123
_symmetry_space_group_name_Hall '-P 4 2'
_cell_length_a 5.117
_cell_length_b 5.117
_cell_length_c 5.238
_cell_angle_alpha 90.00
_cell_angle_beta 90.00
_cell_angle_gamma 90.00
loop_
_atom_site_label
_atom_site_type_symbol
_atom_site_fract_x
_atom_site_fract_y
_atom_site_fract_z
In1 In 0.000 0.000 0.000
Sn1 Sn 0.000 0.500 0.500
Rh1 Rh 0.000 0.000 0.500
Cl1 Cl 0.500 0.500 0.000
# - excess energy over the best structure of this formula in the dataset (meV/atom) = 0.0

***

# 18
# Sc3CoMo (PBE, relaxed)
data_Sc3CoMo
_symmetry_space_group_name_H-M 'P m -3 m'
_symmetry_Int_Tables_number 221
_symmetry_space_group_name_Hall '-P 4 2 3'
_cell_length_a 4.920
_cell_length_b 4.920
_cell_length_c 4.920
_cell_angle_alpha 90.00
_cell_angle_beta 90.00
_cell_angle_gamma 90.00
loop_
_atom_site_label
_atom_site_type_symbol
_atom_site_fract_x
_atom_site_fract_y
_atom_site_fract_z
Sc1 Sc 0.000 0.000 0.500
Co1 Co 0.500 0.500 0.500
Mo1 Mo 0.000 0.000 0.000
# - excess energy over the best structure of this formula in the dataset (meV/atom) = 441.9
# - ΔE_f (meV/atom) = 866

***

# 19
# Na2TlNiN (PBE, relaxed)
data_Na2TlNiN
_symmetry_space_group_name_H-M 'P 4/m m m'
_symmetry_Int_Tables_number 123
_symmetry_space_group_name_Hall '-P 4 2'
_cell_length_a 5.128
_cell_length_b 5.128
_cell_length_c 3.540
_cell_angle_alpha 90.00
_cell_angle_beta 90.00
_cell_angle_gamma 90.00
loop_
_atom_site_label
_atom_site_type_symbol
_atom_site_fract_x
_atom_site_fract_y
_atom_site_fract_z
Na1 Na 0.000 0.500 0.000
Tl1 Tl 0.000 0.000 0.500
Ni1 Ni 0.500 0.500 0.500
N1 N 0.500 0.500 0.000
# - energy (eV per formula unit) = -19.07

***

# 20
# BeCd2WCl (PBE, relaxed)
data_BeCd2WCl
_symmetry_space_group_name_H-M 'P 4/m m m'
_symmetry_Int_Tables_number 123
_symmetry_space_group_name_Hall '-P 4 2'
_cell_length_a 5.533
_cell_length_b 5.533
_cell_length_c 4.639
_cell_angle_alpha 90.00
_cell_angle_beta 90.00
_cell_angle_gamma 90.00
loop_
_atom_site_label
_atom_site_type_symbol
_atom_site_fract_x
_atom_site_fract_y
_atom_site_fract_z
Be1 Be 0.000 0.000 0.000
Cd1 Cd 0.000 0.500 0.500
W1 W 0.000 0.000 0.500
Cl1 Cl 0.500 0.500 0.000
# - energy (eV per formula unit) = -14.21

***

# 21
# Mg2ZrCd (PBE, relaxed)
data_Mg2ZrCd
_symmetry_space_group_name_H-M 'P 4/m m m'
_symmetry_Int_Tables_number 123
_symmetry_space_group_name_Hall '-P 4 2'
_cell_length_a 3.198
_cell_length_b 3.198
_cell_length_c 8.498
_cell_angle_alpha 90.00
_cell_angle_beta 90.00
_cell_angle_gamma 90.00
loop_
_atom_site_label
_atom_site_type_symbol
_atom_site_fract_x
_atom_site_fract_y
_atom_site_fract_z
Mg1 Mg 0.000 0.000 0.240
Zr1 Zr 0.500 0.500 0.500
Cd1 Cd 0.500 0.500 0.000
# - ΔE_f (meV/atom) = -55

***

# 22
# HfTiSi (PBE, relaxed)
data_HfTiSi
_symmetry_space_group_name_H-M 'C 1 2/m 1'
_symmetry_Int_Tables_number 12
_cell_length_a 9.845
_cell_length_b 3.466
_cell_length_c 7.325
_cell_angle_alpha 90.00
_cell_angle_beta 122.64
_cell_angle_gamma 90.00
loop_
_symmetry_equiv_pos_as_xyz
'x,y,z'
'-x,-y,-z'
'-x,y,-z'
'x,-y,z'
'x+1/2,y+1/2,z'
'-x+1/2,-y+1/2,-z'
'-x+1/2,y+1/2,-z'
'x+1/2,-y+1/2,z'
loop_
_atom_site_label
_atom_site_type_symbol
_atom_site_fract_x
_atom_site_fract_y
_atom_site_fract_z
Hf1 Hf 0.157 0.000 0.056
Ti1 Ti 0.089 0.500 0.358
Si1 Si 0.133 0.000 0.654
# - energy (eV per formula unit) = -24.73

***

# 23
# U5As4Se (PBE, relaxed)
data_U5As4Se
_symmetry_space_group_name_H-M 'I m m m'
_symmetry_Int_Tables_number 71
_symmetry_space_group_name_Hall '-I 2 2'
_cell_length_a 4.087
_cell_length_b 5.776
_cell_length_c 20.428
_cell_angle_alpha 90.00
_cell_angle_beta 90.00
_cell_angle_gamma 90.00
loop_
_atom_site_label
_atom_site_type_symbol
_atom_site_fract_x
_atom_site_fract_y
_atom_site_fract_z
U1 U 0.000 0.000 0.000
U2 U 0.000 0.000 0.200
U3 U 0.000 0.000 0.399
As1 As 0.000 0.500 0.200
As2 As 0.000 0.500 0.400
Se1 Se 0.000 0.500 0.000
# - energy (eV per formula unit) = -86.34

***

# 24
# YHoTlHg (PBE, relaxed)
data_YHoTlHg
_symmetry_space_group_name_H-M 'F -4 3 m'
_symmetry_Int_Tables_number 216
_symmetry_space_group_name_Hall 'F -4 2 3'
_cell_length_a 7.511
_cell_length_b 7.511
_cell_length_c 7.511
_cell_angle_alpha 90.00
_cell_angle_beta 90.00
_cell_angle_gamma 90.00
loop_
_atom_site_label
_atom_site_type_symbol
_atom_site_fract_x
_atom_site_fract_y
_atom_site_fract_z
Y1 Y 0.000 0.000 0.000
Ho1 Ho 0.000 0.000 0.500
Tl1 Tl 0.250 0.250 0.250
Hg1 Hg 0.250 0.250 0.750
# - excess energy over the best structure of this formula in the dataset (meV/atom) = 3.4
# - ΔE_f (meV/atom) = -422